(1)
Material: NaCa2InF
Method: DFT, PBE-GGA
State: optimized geometry

Results
Formation energy (no corrections) = -1.274 eV/atom
Space-group type = P4/mmm (123)

```
NaCa2InF
1.0
-0.448 -3.351 3.725
-1.184 -3.563 -3.348
4.599 -1.110 -0.445
Ca Na F In
2 1 1 1
Direct
0.000 0.500 0.000
0.500 0.000 0.000
0.000 0.000 0.500
0.000 0.000 0.000
0.500 0.500 0.500
```

***

(2)
Material: HgP2Pb2
Method: DFT, PBE-GGA
State: optimized geometry

Results
Distance to the lowest polymorph of the same formula = 0.0000 eV/atom
Space-group type = I4/mmm (139)

```
HgP2Pb2
1.0
-2.266 -4.037 2.830
-1.706 -2.280 -4.618
1.888 -5.519 -1.160
Pb Hg P
2 1 2
Direct
0.750 0.250 0.500
0.250 0.750 0.500
0.000 0.000 0.000
0.381 0.381 0.239
0.619 0.619 0.761
```

***

(3)
Material: Cs2SbCl5F
Method: DFT, PBE-GGA
State: optimized geometry

Results
Formation energy (no corrections) = -1.580 eV/atom
Space-group type = I4mm (107)

```
Cs2SbCl5F
1.0
7.538 -0.145 -0.210
-3.706 6.565 0.210
-3.706 -2.142 6.209
Sb Cl Cs F
1 5 2 1
Direct
0.000 0.996 0.996
0.000 0.751 0.232
0.000 0.232 0.751
0.000 0.238 0.238
0.519 0.751 0.751
0.481 0.232 0.232
0.500 0.745 0.245
0.500 0.245 0.745
0.000 0.808 0.808
```

***

(4)
Material: DyUTe
Method: DFT, PBE-GGA
State: optimized geometry

Results
Formation energy (no corrections) = -0.510 eV/atom
Space-group type = C2/m (12)

```
DyUTe
1.0
3.744 0.000 0.000
0.000 5.124 0.788
-1.872 0.095 8.268
Dy Te U
2 2 2
Direct
0.585 0.719 0.169
0.415 0.281 0.831
0.916 0.786 0.831
0.084 0.214 0.169
0.254 0.835 0.507
0.746 0.165 0.493
```

***

(5)
Material: Pm7PrEr12
Method: DFT, PBE-GGA
State: optimized geometry

Results
Distance to the lowest polymorph of the same formula = 0.0000 eV/atom
Space-group type = R-3 (148)

```
Pm7PrEr12
1.0
-8.688 -0.795 -0.752
-0.096 -8.270 2.877
-1.532 2.277 8.316
Er Pm Pr
12 7 1
Direct
0.621 0.132 0.496
0.868 0.504 0.379
0.261 0.725 0.852
0.725 0.852 0.261
0.504 0.379 0.868
0.132 0.496 0.621
0.148 0.739 0.275
0.379 0.868 0.504
0.275 0.148 0.739
0.496 0.621 0.132
0.852 0.261 0.725
0.739 0.275 0.148
0.500 0.500 0.500
0.157 0.398 0.072
0.928 0.843 0.602
0.843 0.602 0.928
0.072 0.157 0.398
0.602 0.928 0.843
0.398 0.072 0.157
0.000 0.000 0.000
```

***

(6)
Material: LaTaTc
Method: DFT, PBE-GGA
State: optimized geometry

Results
Distance to the lowest polymorph of the same formula = 0.2021 eV/atom
Space-group type = F-43m (216)

```
LaTaTc
1.0
4.649 0.000 0.000
2.325 4.026 0.000
2.325 1.342 3.796
Ta Tc La
1 1 1
Direct
0.500 0.500 0.500
0.750 0.750 0.750
0.000 0.000 0.000
```

***

(7)
Material: EuRu2C
Method: DFT, PBE-GGA
State: optimized geometry

Results
Energy = -9.1131 eV per atom
Space-group type = R-3m (166)

```
EuRu2C
1.0
3.268 0.000 0.000
1.634 2.830 0.000
1.634 0.943 7.245
Ru C Eu
2 1 1
Direct
0.709 0.709 0.872
0.291 0.291 0.128
0.000 0.000 0.000
0.500 0.500 0.500
```

***

(8)
Material: CoPS2N
Method: DFT, PBE-GGA
State: optimized geometry

Results
Formation energy (no corrections) = 0.216 eV/atom
Distance to the lowest polymorph of the same formula = 0.2681 eV/atom
Space-group type = P1 (1)

```
CoPS2N
1.0
-2.374 1.964 2.209
-0.153 -3.272 2.603
2.784 1.429 3.922
P S N Co
1 2 1 1
Direct
0.532 0.582 0.897
0.067 0.235 0.658
0.614 0.863 0.244
0.737 0.222 0.979
0.998 0.784 0.526
```

***

(9)
Material: MnCrTcMo
Method: DFT, PBE-GGA
State: optimized geometry

Results
Energy = -9.8902 eV per atom
Space-group type = F-43m (216)

```
MnCrTcMo
1.0
-3.723 1.592 1.297
-3.517 -2.379 -0.208
-1.803 -1.446 3.569
Mo Tc Mn Cr
1 1 1 1
Direct
0.750 0.750 0.750
0.250 0.250 0.250
0.000 0.000 0.000
0.500 0.500 0.500
```

***

(10)
Material: CaPm2Pr5Nd
Method: DFT, PBE-GGA
State: optimized geometry

Results
Energy = -4.3107 eV per atom
Space-group type = Cmc2_1 (36)

```
CaPm2Pr5Nd
1.0
5.585 0.000 0.000
-2.792 11.214 0.000
0.000 0.000 10.615
Pr Pm Ca Nd
10 4 2 2
Direct
0.279 0.558 0.314
0.500 0.000 0.758
0.999 0.997 0.008
0.383 0.766 0.008
0.279 0.558 0.703
0.001 0.003 0.508
0.500 0.000 0.258
0.721 0.442 0.814
0.617 0.234 0.508
0.721 0.442 0.203
0.884 0.768 0.771
0.116 0.232 0.745
0.884 0.768 0.245
0.116 0.232 0.271
0.601 0.202 0.008
0.399 0.798 0.508
0.779 0.557 0.509
0.221 0.443 0.009
```

***

(11)
Material: NdZn2Pd10
Method: DFT, PBE-GGA
State: optimized geometry

Results
Energy = -4.9661 eV per atom
Space-group type = Fmmm (69)

```
NdZn2Pd10
1.0
-2.023 -4.234 -2.342
-0.137 -5.527 4.238
-6.800 -0.450 0.816
Pd Zn Nd
10 2 1
Direct
0.280 0.226 0.214
0.000 0.000 0.500
0.347 0.646 0.660
0.494 0.226 0.786
0.720 0.774 0.786
0.993 0.354 0.660
0.007 0.646 0.340
0.506 0.774 0.214
0.653 0.354 0.340
0.500 0.000 0.500
0.500 0.500 0.000
0.000 0.500 0.000
0.000 0.000 0.000
```

***

(12)
Material: Ba2LaZn
Method: DFT, PBE-GGA
State: optimized geometry

Results
Energy = -2.3146 eV per atom
Space-group type = I4/mmm (139)

```
Ba2LaZn
1.0
-2.034 -5.999 -2.415
4.552 -4.983 0.642
-2.651 4.642 4.169
Ba Zn La
2 1 1
Direct
0.500 0.500 0.000
0.000 0.000 0.000
0.750 0.250 0.500
0.250 0.750 0.500
```

***

What is the formula in the fourth record? DyUTe